(1)
A plane-wave DFT calculation with PBE was carried out for a relaxed NaSrH6Au2 crystal.

N(E_F), states/eV/cell: 2.82

Lattice parameters (Å, degrees): 6.526 6.526 6.441 77.86 77.86 102.93
Positions (direct):
Au1 0.046 0.318 0.186
H1 0.430 0.904 0.866
H2 0.096 0.570 0.634
Sr1 0.167 0.833 0.250
H3 0.527 0.288 0.631
H4 0.145 0.199 0.993
Na1 0.427 0.573 0.750
Na2 0.573 0.427 0.250
H5 0.801 0.855 0.507
Au2 0.682 0.954 0.314
H6 0.570 0.096 0.134
Au3 0.954 0.682 0.814
Au4 0.318 0.046 0.686
H7 0.904 0.430 0.366
H8 0.473 0.712 0.369
Sr2 0.833 0.167 0.750
H9 0.855 0.801 0.007
H10 0.288 0.527 0.131
H11 0.712 0.473 0.869
H12 0.199 0.145 0.493

=====

(2)
A plane-wave DFT calculation with PBE was carried out for a relaxed Na2TeHAu crystal.

N(E_F), states/eV/cell: 0.64

Lattice parameters (Å, degrees): 5.258 5.258 3.699 90.00 90.00 90.00
Positions (direct):
H1 0.000 0.000 0.000
Na1 0.500 0.000 0.000
Au1 0.000 0.000 0.500
Te1 0.500 0.500 0.500
Na2 0.000 0.500 0.000

=====

(3)
A plane-wave DFT calculation with PBE was carried out for a relaxed NaTlH6Au2 crystal.

Lattice parameters (Å, degrees): 6.341 6.341 9.840 111.23 111.23 97.06
Positions (direct):
H1 0.286 0.182 0.572
Au1 0.405 0.088 0.711
H2 0.997 0.476 0.645
Au2 0.088 0.405 0.211
H3 0.182 0.286 0.072
H4 0.003 0.524 0.355
Tl1 0.078 0.922 0.250
Tl2 0.922 0.078 0.750
H5 0.497 0.441 0.968
H6 0.503 0.559 0.032
H7 0.441 0.497 0.468
H8 0.524 0.003 0.855
Au3 0.912 0.595 0.789
Na1 0.604 0.396 0.250
Na2 0.396 0.604 0.750
H9 0.714 0.818 0.428
H10 0.559 0.503 0.532
H11 0.818 0.714 0.928
H12 0.476 0.997 0.145
Au4 0.595 0.912 0.289

=====

(4)
A plane-wave DFT calculation with PBE was carried out for a relaxed NaTlHAu2 crystal.

N(E_F), states/eV/cell: 1.52

Lattice parameters (Å, degrees): 4.365 4.365 4.599 90.00 90.00 90.00
Positions (direct):
Tl1 0.500 0.500 0.500
Na1 0.000 0.000 0.500
Au1 0.500 0.000 0.000
H1 0.000 0.000 0.000
Au2 0.000 0.500 0.000

=====

(5)
A plane-wave DFT calculation with PBE was carried out for a relaxed NaY2HAu crystal.

N(E_F), states/eV/cell: 2.78

Lattice parameters (Å, degrees): 4.927 4.927 4.158 90.00 90.00 90.00
Positions (direct):
Y1 0.000 0.500 0.000
Au1 0.500 0.500 0.500
Na1 0.000 0.000 0.500
H1 0.000 0.000 0.000
Y2 0.500 0.000 0.000

=====

(6)
A plane-wave DFT calculation with PBE was carried out for a relaxed NbHAu crystal.

E above lowest polymorph, meV per atom: 11
N(E_F), states/eV/cell: 2.73

Lattice parameters (Å, degrees): 4.396 3.250 3.250 120.00 90.00 90.00
Positions (direct):
Au1 0.667 0.333 0.667
H1 0.167 0.000 0.000
Nb1 0.167 0.667 0.333

=====

(7)
A plane-wave DFT calculation with PBE was carried out for a relaxed NbHAu crystal.

E above lowest polymorph, meV per atom: 0
N(E_F), states/eV/cell: 3.23

Lattice parameters (Å, degrees): 4.349 8.720 4.343 90.00 90.00 104.44
Positions (direct):
H1 0.750 0.000 0.750
Nb1 0.083 0.167 0.000
H2 0.250 0.000 0.250
Nb2 0.583 0.167 0.500
Au1 0.809 0.618 0.500
Au2 0.309 0.618 0.000
H3 0.750 0.000 0.250
H4 0.250 0.000 0.750
Au3 0.691 0.382 0.000
Au4 0.191 0.382 0.500
Nb3 0.917 0.833 0.000
Nb4 0.417 0.833 0.500

=====

(8)
A plane-wave DFT calculation with PBE was carried out for a relaxed NbHAu3 crystal.

N(E_F), states/eV/cell: 2.78

Lattice parameters (Å, degrees): 4.259 4.259 4.259 90.00 90.00 90.00
Positions (direct):
Au1 0.500 0.000 0.000
Au2 0.000 0.500 0.000
Nb1 0.500 0.500 0.500
H1 0.000 0.000 0.000
Au3 0.000 0.000 0.500

=====

(9)
A plane-wave DFT calculation with PBE was carried out for a relaxed NbNi2HAu crystal.

N(E_F), states/eV/cell: 6.32

Lattice parameters (Å, degrees): 3.958 3.958 3.866 90.00 90.00 90.00
Positions (direct):
Ni1 0.000 0.500 0.000
Au1 0.500 0.500 0.500
Ni2 0.500 0.000 0.000
Nb1 0.000 0.000 0.500
H1 0.000 0.000 0.000

=====

(10)
A plane-wave DFT calculation with PBE was carried out for a relaxed Nb2NiHAu crystal.

E above lowest polymorph, meV per atom: 0
N(E_F), states/eV/cell: 2.72

Lattice parameters (Å, degrees): 4.085 4.085 4.016 90.00 90.00 90.00
Positions (direct):
Nb1 0.500 0.000 0.000
Ni1 0.000 0.000 0.500
H1 0.000 0.000 0.000
Au1 0.500 0.500 0.500
Nb2 0.000 0.500 0.000

=====

(11)
A plane-wave DFT calculation with PBE was carried out for a relaxed NbH2OsAu crystal.

N(E_F), states/eV/cell: 3.79

Lattice parameters (Å, degrees): 3.703 3.703 5.269 90.00 90.00 90.00
Positions (direct):
Au1 0.000 0.000 0.500
H1 0.000 0.500 0.000
Os1 0.500 0.500 0.500
H2 0.500 0.000 0.000
Nb1 0.000 0.000 0.000

=====

(12)
A plane-wave DFT calculation with PBE was carried out for a relaxed Nb2HOsAu crystal.

E above lowest polymorph, meV per atom: 87
N(E_F), states/eV/cell: 2.52

Lattice parameters (Å, degrees): 4.077 4.077 4.161 90.00 90.00 90.00
Positions (direct):
Au1 0.000 0.000 0.500
H1 0.000 0.000 0.000
Os1 0.500 0.500 0.500
Nb1 0.000 0.500 0.000
Nb2 0.500 0.000 0.000

=====

(13)
A plane-wave DFT calculation with PBE was carried out for a relaxed Nb2HOsAu crystal.

E above lowest polymorph, meV per atom: 0
N(E_F), states/eV/cell: 2.43

Lattice parameters (Å, degrees): 4.115 4.115 4.069 90.00 90.00 90.00
Positions (direct):
H1 0.000 0.000 0.000
Os1 0.000 0.000 0.500
Nb1 0.500 0.000 0.000
Nb2 0.000 0.500 0.000
Au1 0.500 0.500 0.500

=====

| no. | VASP energy (eV/atom) |
| --- | --- |
| 1 | -3.187 |
| 2 | -2.896 |
| 3 | -3.041 |
| 4 | -2.661 |
| 5 | -4.492 |
| 6 | -5.620 |
| 7 | -5.631 |
| 8 | -4.216 |
| 9 | -5.616 |
| 10 | -6.654 |
| 11 | -5.183 |
| 12 | -7.611 |
| 13 | -7.698 |